Compound: ZrCrPb2
Source: Alexandria
Functional: PBE
Structure: relaxed

Output
Energy relative to the elements, meV per atom: 526.0
Magnetization, μB per cell: 8.65
DFT total energy, eV/atom: -5.871

Cell: 7.2397 7.2397 7.2397 Å, 90.00 90.00 90.00°
Space group F-43m (No. 216)
Inequivalent atoms, fractional coordinates:
Zr: 0.0000 0.0000 0.0000 [4 per cell]
Cr: 0.2500 0.2500 0.2500 [4 per cell]
Pb: 0.0000 0.0000 0.5000 [4 per cell]
Pb: 0.2500 0.2500 0.7500 [4 per cell]